Entry 1:
The following is a PBE calculation of a geometry-optimized Tm3ZnCo8 structure, from Alexandria via LeMat-Bulk.

It has space group R3m (No. 160, hexagonal axes), with a = 4.9498 Å, b = 4.9498 Å, c = 24.3093 Å, α = 90.00°, β = 90.00° and γ = 120.00°. Symmetry generates all atoms from Tm at (0.0000, 0.0000, 0.0000), Tm at (0.0000, 0.0000, 0.1284), Tm at (0.0000, 0.0000, 0.6177), Zn at (0.0000, 0.0000, 0.4963), Co at (0.0000, 0.0000, 0.3117), Co at (0.0000, 0.0000, 0.8122), Co at (0.0024, 0.5012, 0.0632) and Co at (0.1670, 0.3339, 0.8937).

The value obtained for the total magnetization is 26.34 Bohr magnetons per cell. The density of states at the Fermi level is 1.410 states/eV per atom. The total energy comes out at -6.177 eV/atom.

Entry 2:
The following is a PBE calculation of a geometry-optimized Tm8ZnCo2 structure, from Alexandria via LeMat-Bulk.

It has space group C2/m (No. 12), with a = 8.397 Å, b = 12.722 Å, c = 5.294 Å, α = 90.00°, β = 104.04° and γ = 90.00°. Symmetry generates all atoms from Tm at (0.000, 0.243, 0.000), Tm at (0.121, 0.500, 0.805), Tm at (0.200, 0.132, 0.582), Zn at (0.000, 0.000, 0.000) and Co at (0.000, 0.309, 0.500).

The value obtained for the total magnetization is 0.00 Bohr magnetons per cell. The density of states at the Fermi level is 1.028 states/eV per atom. The total energy comes out at -4.750 eV/atom.

Entry 3:
The following is a PBE calculation of a geometry-optimized Tm3Zn2Co structure, from Alexandria via LeMat-Bulk.

It has space group Pnma (No. 62), with a = 11.685 Å, b = 4.314 Å, c = 10.237 Å, α = 90.00°, β = 90.00° and γ = 90.00°. Symmetry generates all atoms from Tm at (0.056, 0.250, 0.116), Tm at (0.109, 0.750, 0.558), Tm at (0.240, 0.250, 0.787), Zn at (0.008, 0.750, 0.297), Zn at (0.201, 0.750, 0.992) and Co at (0.118, 0.250, 0.368).

The value obtained for the total magnetization is 0.00 Bohr magnetons per cell. The density of states at the Fermi level is 0.914 states/eV per atom. The total energy comes out at -4.130 eV/atom.

Entry 4:
The following is a PBE calculation of a geometry-optimized Tm5ZnCo2 structure, from Alexandria via LeMat-Bulk.

It has space group I4/mcm (No. 140), with a = 7.442 Å, b = 7.442 Å, c = 12.863 Å, α = 90.00°, β = 90.00° and γ = 90.00°. Symmetry generates all atoms from Tm at (0.000, 0.000, 0.000), Tm at (0.162, 0.338, 0.136), Zn at (0.000, 0.000, 0.250) and Co at (0.135, 0.365, 0.500).

The value obtained for the total magnetization is 0.00 Bohr magnetons per cell. The density of states at the Fermi level is 0.648 states/eV per atom. The total energy comes out at -4.988 eV/atom.

Entry 5:
The following is a PBE calculation of a geometry-optimized TmZn4Co2 structure, from Alexandria via LeMat-Bulk.

It has space group C2/m (No. 12), with a = 8.119 Å, b = 6.461 Å, c = 4.937 Å, α = 90.00°, β = 127.24° and γ = 90.00°. Symmetry generates all atoms from Tm at (0.000, 0.000, 0.000), Zn at (0.194, 0.194, 0.694) and Co at (0.000, 0.500, 0.250).

The value obtained for the total magnetization is 4.85 Bohr magnetons per cell. The density of states at the Fermi level is 0.616 states/eV per atom. The total energy comes out at -3.584 eV/atom.

Entry 6:
The following is a PBE calculation of a geometry-optimized Tm5ZnCo4 structure, from Alexandria via LeMat-Bulk.

It has space group P4/mmm (No. 123), with a = 3.310 Å, b = 3.310 Å, c = 16.966 Å, α = 90.00°, β = 90.00° and γ = 90.00°. Symmetry generates all atoms from Tm at (0.000, 0.000, 0.000), Tm at (0.000, 0.000, 0.192), Tm at (0.000, 0.000, 0.384), Zn at (0.500, 0.500, 0.500), Co at (0.500, 0.500, 0.097) and Co at (0.500, 0.500, 0.292).

The value obtained for the total magnetization is 1.16 Bohr magnetons per cell. The density of states at the Fermi level is 0.425 states/eV per atom. The total energy comes out at -5.465 eV/atom.

Entry 7:
The following is a PBE calculation of a geometry-optimized Tm12ZnCo6 structure, from Alexandria via LeMat-Bulk.

It has space group R-3 (No. 148, hexagonal axes), with a = 13.3371 Å, b = 13.3371 Å, c = 8.5346 Å, α = 90.00°, β = 90.00° and γ = 120.00°. Symmetry generates all atoms from Tm at (0.0389, 0.2593, 0.4267), Tm at (0.0615, 0.1812, 0.8301), Zn at (0.0000, 0.0000, 0.5000) and Co at (0.0780, 0.5021, 0.7885).

The value obtained for the total magnetization is 0.00 Bohr magnetons per cell. The density of states at the Fermi level is 0.678 states/eV per atom. The total energy comes out at -5.246 eV/atom.

Entry 8:
The following is a PBE calculation of a geometry-optimized Tm3Zn2Co structure, from Alexandria via LeMat-Bulk.

It has space group P2_1/m (No. 11), with a = 4.928 Å, b = 6.949 Å, c = 7.998 Å, α = 90.00°, β = 108.04° and γ = 90.00°. Symmetry generates all atoms from Tm at (0.001, 0.250, 0.000), Tm at (0.361, 0.000, 0.722), Zn at (0.198, 0.250, 0.395), Zn at (0.198, 0.750, 0.395) and Co at (0.499, 0.750, 0.000).

The value obtained for the total magnetization is 0.00 Bohr magnetons per cell. The density of states at the Fermi level is 0.799 states/eV per atom. The total energy comes out at -4.061 eV/atom.

Entry 9:
The following is a PBE calculation of a geometry-optimized Tm2ZnCo structure, from Alexandria via LeMat-Bulk.

It has space group Fm-3m (No. 225), with a = 6.785 Å, b = 6.785 Å, c = 6.785 Å, α = 90.00°, β = 90.00° and γ = 90.00°. Symmetry generates all atoms from Tm at (0.250, 0.250, 0.250), Zn at (0.000, 0.000, 0.000) and Co at (0.000, 0.000, 0.500).

The value obtained for the total magnetization is 0.00 Bohr magnetons per cell. The density of states at the Fermi level is 0.708 states/eV per atom. The total energy comes out at -4.603 eV/atom.

Entry 10:
The following is a PBE calculation of a geometry-optimized Tm2Zn5Co5 structure, from Alexandria via LeMat-Bulk.

It has space group Pmmm (No. 47), with a = 4.047 Å, b = 5.006 Å, c = 8.832 Å, α = 90.00°, β = 90.00° and γ = 90.00°. Symmetry generates all atoms from Tm at (0.000, 0.000, 0.000), Tm at (0.000, 0.500, 0.500), Zn at (0.000, 0.000, 0.324), Zn at (0.000, 0.500, 0.169), Zn at (0.500, 0.000, 0.500), Co at (0.500, 0.246, 0.240) and Co at (0.500, 0.500, 0.000).

The value obtained for the total magnetization is 4.83 Bohr magnetons per cell. The density of states at the Fermi level is 0.876 states/eV per atom. The total energy comes out at -4.411 eV/atom.